Material: Sc2Ga3Co2
Method: DFT, PBE-GGA
State: optimized geometry

Crystal system: monoclinic
Formation enthalpy at 0 K in eV/atom: -0.530

Unit cell a=9.228 b=3.954 c=6.517 alpha=90.00 beta=112.66 gamma=90.00
Space group C2/m (No. 12)
Asymmetric unit:
Sc: 0.149 0.000 0.282 x4
Ga: 0.000 0.500 0.500 x2
Ga: 0.133 0.500 0.950 x4
Co: 0.134 0.000 0.697 x4